1.
LiPtI3 | Alexandria | PBE-GGA | optimized geometry; raw formation energy = -0.257 eV/atom; E above lowest polymorph = 0.000 eV/atom; DOS(E_F) = 0.227 states/eV per atom
1.0
-0.340 5.552 0.005
-5.417 -0.333 1.220
1.218 0.070 5.427
I Pt Li
3 1 1
Direct
0.000 0.500 0.000
0.000 0.000 0.500
0.500 0.000 0.000
0.000 0.000 0.000
0.500 0.500 0.500

---

2.
CdSn2Hg | Alexandria | PBE-GGA | optimized geometry; E above lowest polymorph = 0.029 eV/atom; DFT formation energy = 69 meV per atom; DOS(E_F) = 0.609 states/eV per atom
1.0
-2.568 1.075 -1.967
1.953 -0.394 -2.765
-2.875 -8.392 -0.835
Cd Hg Sn
1 1 2
Direct
0.500 0.500 0.000
0.500 0.500 0.500
0.000 0.000 0.754
0.000 0.000 0.246

---

3.
TlCdIn | Alexandria | PBE-GGA | optimized geometry; DFT formation energy = 62 meV per atom; DOS(E_F) = 0.364 states/eV per atom
1.0
8.803 0.022 -0.017
7.907 3.197 -0.192
0.897 -1.070 2.995
Tl Cd In
1 1 1
Direct
0.664 0.664 0.336
0.998 0.998 0.002
0.338 0.338 0.662

---

4.
Sr3ErS4 | Alexandria | PBE-GGA | optimized geometry; raw formation energy = -2.059 eV/atom; DOS(E_F) = 0.335 states/eV per atom
1.0
4.139 0.000 0.000
0.000 7.216 -0.051
0.000 -2.323 6.831
Sr Er S
3 1 4
Direct
0.000 0.000 0.500
0.500 0.500 0.500
0.000 0.500 0.000
0.500 0.000 0.000
0.000 0.230 0.230
0.500 0.762 0.238
0.000 0.770 0.770
0.500 0.238 0.762

---

5.
Nb3FeTc2 | Alexandria | PBE-GGA | optimized geometry; DFT formation energy = -233 meV per atom; DOS(E_F) = 0.657 states/eV per atom
1.0
3.173 0.000 0.000
0.000 3.173 0.000
0.000 0.000 9.410
Nb Fe Tc
3 1 2
Direct
0.000 0.000 0.000
0.000 0.000 0.661
0.000 0.000 0.339
0.500 0.500 0.500
0.500 0.500 0.830
0.500 0.500 0.170

---

6.
Cd2Bi2S | Alexandria | PBE-GGA | optimized geometry; raw formation energy = 0.188 eV/atom; E above lowest polymorph = 0.095 eV/atom; DOS(E_F) = 0.470 states/eV per atom
1.0
7.509 0.000 0.000
0.000 7.509 0.000
0.000 0.000 4.875
S Bi Cd
2 4 4
Direct
0.000 0.000 0.000
0.500 0.500 0.000
0.142 0.642 0.500
0.642 0.858 0.500
0.858 0.358 0.500
0.358 0.142 0.500
0.337 0.837 0.000
0.837 0.663 0.000
0.663 0.163 0.000
0.163 0.337 0.000

---

7.
Zn2FeTe | Alexandria | PBE-GGA | optimized geometry; raw formation energy = 0.168 eV/atom; DOS(E_F) = 1.058 states/eV per atom
1.0
4.369 -0.015 -0.202
3.209 2.965 -0.202
-0.590 -0.230 6.084
Fe Te Zn
1 1 2
Direct
0.475 0.475 0.552
0.147 0.147 0.330
0.088 0.088 0.883
0.790 0.790 0.736

---

8.
TaP3Cl | Alexandria | PBE-GGA | optimized geometry; raw formation energy = 1.329 eV/atom; E above lowest polymorph = 0.978 eV/atom; DOS(E_F) = 0.762 states/eV per atom
1.0
-1.571 -3.880 -1.364
1.800 0.664 -3.962
3.698 -1.972 1.350
P Cl Ta
3 1 1
Direct
0.000 0.500 0.000
0.000 0.000 0.500
0.500 0.000 0.000
0.000 0.000 0.000
0.500 0.500 0.500

---

9.
Er3NiRh2 | Alexandria | PBE-GGA | optimized geometry; E above lowest polymorph = 0.006 eV/atom; DFT formation energy = -760 meV per atom; DOS(E_F) = 0.670 states/eV per atom
1.0
-1.374 1.402 2.701
-2.951 -1.341 -0.805
2.329 -8.482 5.588
Er Ni Rh
3 1 2
Direct
0.000 0.000 0.000
0.000 0.000 0.665
0.000 0.000 0.335
0.500 0.500 0.500
0.500 0.500 0.831
0.500 0.500 0.169

---

10.
LiGa6Rh | Alexandria | PBE-GGA | optimized geometry; DFT formation energy = -212 meV per atom; DOS(E_F) = 0.305 states/eV per atom
1.0
-4.772 -1.287 2.405
2.339 -4.873 -0.997
1.467 -1.813 4.976
Li Ga Rh
1 6 1
Direct
0.500 0.500 0.500
0.153 0.706 0.294
0.706 0.153 0.294
0.294 0.847 0.706
0.847 0.294 0.706
0.294 0.294 0.154
0.706 0.706 0.846
0.000 0.000 0.000

---

11.
NdSmZnHg | Alexandria | PBE-GGA | optimized geometry; E above lowest polymorph = 0.000 eV/atom; DFT formation energy = -399 meV per atom; DOS(E_F) = 0.990 states/eV per atom
1.0
-3.416 -1.250 0.785
1.463 -3.133 1.377
0.402 3.186 6.822
Nd Sm Zn Hg
1 1 1 1
Direct
0.500 0.500 0.125
0.500 0.500 0.590
0.000 0.000 0.363
0.000 0.000 0.850

---

12.
La4InRh | Alexandria | PBE-GGA | optimized geometry; E above lowest polymorph = 0.843 eV/atom; DFT formation energy = 342 meV per atom; DOS(E_F) = 1.507 states/eV per atom
1.0
0.000 4.468 4.468
4.468 0.000 4.468
4.468 4.468 0.000
La In Rh
4 1 1
Direct
0.873 0.376 0.376
0.376 0.376 0.873
0.376 0.873 0.376
0.376 0.376 0.376
0.000 0.000 0.000
0.750 0.750 0.750

---

13.
Ac5PrSmY2 | Alexandria | PBE-GGA | optimized geometry; DFT formation energy = 155 meV per atom; DOS(E_F) = 1.729 states/eV per atom
1.0
-5.013 -2.333 2.215
7.143 -8.778 -1.090
3.789 1.785 10.456
Ac Pr Sm Y
10 2 2 4
Direct
0.375 0.749 0.018
0.724 0.447 0.823
0.489 0.978 0.747
0.298 0.596 0.705
0.990 0.980 0.511
0.625 0.251 0.518
0.276 0.553 0.323
0.511 0.022 0.247
0.702 0.404 0.205
0.010 0.020 0.011
0.595 0.189 0.969
0.405 0.811 0.469
0.807 0.613 0.514
0.193 0.387 0.014
0.888 0.776 0.791
0.116 0.231 0.747
0.112 0.224 0.291
0.884 0.769 0.247

---

14.
CaSi2Se | Alexandria | PBE-GGA | optimized geometry; raw formation energy = -0.329 eV/atom; DOS(E_F) = 0.425 states/eV per atom
1.0
-1.661 4.045 -4.157
-1.426 0.576 -5.834
-4.438 -0.352 0.106
Ca Se Si
1 1 2
Direct
0.750 0.750 0.750
0.250 0.250 0.250
0.037 0.037 0.105
0.463 0.463 0.395

---

15.
RbNa2Li2 | Alexandria | PBE-GGA | optimized geometry; E above lowest polymorph = 0.005 eV/atom; DFT formation energy = 112 meV per atom; DOS(E_F) = 0.584 states/eV per atom
1.0
10.014 0.000 0.000
0.000 10.014 0.000
0.000 0.000 3.806
Na Rb Li
4 2 4
Direct
0.371 0.871 0.000
0.871 0.629 0.000
0.629 0.129 0.000
0.129 0.371 0.000
0.000 0.000 0.000
0.500 0.500 0.000
0.159 0.659 0.500
0.659 0.841 0.500
0.841 0.341 0.500
0.341 0.159 0.500

---

16.
Mg5Pd6Pb | Alexandria | PBE-GGA | optimized geometry; DFT formation energy = -640 meV per atom; DOS(E_F) = 0.307 states/eV per atom
1.0
-0.464 4.592 -0.161
-5.695 -3.061 -4.654
0.579 -1.994 7.691
Pb Mg Pd
1 5 6
Direct
0.000 0.000 0.000
0.500 0.167 0.833
0.000 0.333 0.667
0.500 0.500 0.500
0.000 0.667 0.333
0.500 0.833 0.167
0.255 0.084 0.427
0.745 0.573 0.916
0.761 0.262 0.262
0.239 0.738 0.738
0.255 0.427 0.084
0.745 0.916 0.573

---

17.
KMgAs2 | Alexandria | PBE-GGA | optimized geometry; DFT formation energy = -171 meV per atom; DOS(E_F) = 0.362 states/eV per atom
1.0
-3.336 -5.247 -7.131
-0.389 -4.122 -8.507
-0.388 -6.895 -6.467
As K Mg
2 1 1
Direct
0.012 0.012 0.012
0.488 0.488 0.488
0.250 0.250 0.250
0.750 0.750 0.750

---

18.
SrAl3Ag2 | Alexandria | PBE-GGA | optimized geometry; E above lowest polymorph = 0.105 eV/atom; DFT formation energy = -180 meV per atom; DOS(E_F) = 0.306 states/eV per atom
1.0
-2.797 2.562 -1.781
-4.551 -4.259 5.950
4.128 6.562 2.959
Sr Al Ag
2 6 4
Direct
0.853 0.707 0.940
0.147 0.293 0.060
0.317 0.635 0.554
0.960 0.919 0.614
0.592 0.185 0.668
0.408 0.815 0.332
0.040 0.081 0.386
0.683 0.365 0.446
0.480 0.959 0.820
0.520 0.041 0.180
0.805 0.610 0.325
0.195 0.390 0.675

---

19.
CaMg2Mn | Alexandria | PBE-GGA | optimized geometry; DFT formation energy = 248 meV per atom; DOS(E_F) = 0.813 states/eV per atom
1.0
-3.400 -1.869 2.625
2.190 -3.984 0.000
2.232 1.228 3.766
Ca Mg Mn
1 2 1
Direct
0.500 0.000 0.500
0.000 0.000 0.000
0.000 0.500 0.500
0.500 0.500 0.000

---

20.
DyHgIr | Alexandria | PBE-GGA | optimized geometry; DFT formation energy = -384 meV per atom; DOS(E_F) = 0.559 states/eV per atom
1.0
-2.330 2.760 0.530
-1.815 -0.952 -3.020
-0.689 -3.724 3.794
Ir Hg Dy
1 1 1
Direct
0.292 0.292 0.584
0.621 0.621 0.243
0.937 0.937 0.873

---

no.,total magnetization (μB per formula unit)
1,0.0
2,0.0
3,0.0
4,0.0
5,1.0
6,0.0
7,1.9
8,0.9
9,0.0
10,0.0
11,0.0
12,0.0
13,0.0
14,0.0
15,0.0
16,0.0
17,0.0
18,0.0
19,3.7
20,0.0